Entry from Alexandria: an optimized crystal structure of ZrPt2Se (PBEsol).

POSCAR file:
```
ZrPt2Se
1.0
-2.024 0.127 2.965
0.811 -3.428 0.700
4.282 1.597 2.856
Pt Zr Se
2 1 1
Direct
0.000 0.000 0.745 Pt
0.000 0.000 0.255 Pt
0.500 0.500 0.500 Zr
0.500 0.500 0.000 Se
```

V, A^3/atom: 17.4
M_tot, μB per atom: 0.000
Raw formation energy, eV per atom: -0.779